{
  "formula": "Al3Ag2",
  "functional": "PBE",
  "state": "optimized geometry",
  "spacegroup": "P1",
  "delta_e_f_kj_per_mol_fu": -5,
  "mass_density_g_cm3": 5.78,
  "final_energy_ev_per_atom": -3.40,
  "n_ef_per_ev_cell": 3.05,
  "lattice_angstrom": [[5.138, 0.000, 0.000], [1.867, 5.442, 0.000], [1.870, 1.420, 6.097]],
  "species": ["Al", "Al", "Al", "Al", "Al", "Al", "Ag", "Ag", "Ag", "Ag"],
  "frac_coords": [[0.000, 0.000, 0.000], [0.001, 0.490, 0.997], [0.194, 0.298, 0.595], [0.597, 0.896, 0.793], [0.599, 0.386, 0.786], [0.797, 0.188, 0.396], [0.187, 0.796, 0.615], [0.398, 0.097, 0.187], [0.416, 0.589, 0.182], [0.808, 0.685, 0.395]]
}

{
  "formula": "Al5Ag3",
  "functional": "PBE",
  "state": "optimized geometry",
  "spacegroup": "P4/mmm",
  "delta_e_f_kj_per_mol_fu": 3,
  "mass_density_g_cm3": 5.60,
  "final_energy_ev_per_atom": -3.41,
  "n_ef_per_ev_cell": 3.93,
  "lattice_angstrom": [[2.865, 0.000, 0.000], [0.000, 2.865, 0.000], [0.000, 0.000, 16.557]],
  "species": ["Al", "Al", "Al", "Al", "Al", "Ag", "Ag", "Ag"],
  "frac_coords": [[0.000, 0.000, 0.000], [0.000, 0.000, 0.250], [0.000, 0.000, 0.750], [0.500, 0.500, 0.376], [0.500, 0.500, 0.624], [0.000, 0.000, 0.500], [0.500, 0.500, 0.124], [0.500, 0.500, 0.876]]
}

{
  "formula": "Al5Ag",
  "functional": "PBE",
  "state": "optimized geometry",
  "spacegroup": "Cm",
  "delta_e_f_kj_per_mol_fu": 17,
  "mass_density_g_cm3": 3.98,
  "final_energy_ev_per_atom": -3.56,
  "n_ef_per_ev_cell": 1.43,
  "lattice_angstrom": [[5.240, -1.440, 0.000], [5.240, 1.440, 0.000], [-2.166, 0.000, 6.719]],
  "species": ["Al", "Al", "Al", "Al", "Al", "Ag"],
  "frac_coords": [[0.000, 0.000, 0.000], [0.047, 0.047, 0.602], [0.333, 0.333, 0.660], [0.382, 0.382, 0.274], [0.659, 0.659, 0.339], [0.720, 0.720, 0.935]]
}

{
  "formula": "Al3Ag5",
  "functional": "PBE",
  "state": "optimized geometry",
  "spacegroup": "P-1",
  "delta_e_f_kj_per_mol_fu": -35,
  "mass_density_g_cm3": 7.57,
  "final_energy_ev_per_atom": -3.23,
  "n_ef_per_ev_cell": 1.62,
  "lattice_angstrom": [[5.006, 0.000, 0.000], [0.921, 4.968, 0.000], [0.034, 1.755, 5.471]],
  "species": ["Al", "Al", "Al", "Ag", "Ag", "Ag", "Ag", "Ag"],
  "frac_coords": [[0.000, 0.000, 0.000], [0.244, 0.500, 0.860], [0.756, 0.500, 0.140], [0.000, 0.000, 0.500], [0.250, 0.518, 0.354], [0.491, 0.982, 0.762], [0.509, 0.018, 0.238], [0.750, 0.482, 0.646]]
}

{
  "formula": "AlAg2",
  "functional": "PBE",
  "state": "optimized geometry",
  "spacegroup": "I4_1/amd",
  "delta_e_f_kj_per_mol_fu": 7,
  "mass_density_g_cm3": 7.55,
  "final_energy_ev_per_atom": -3.12,
  "n_ef_per_ev_cell": 1.82,
  "lattice_angstrom": [[-1.446, 1.446, 12.776], [1.446, -1.446, 12.776], [1.446, 1.446, -12.776]],
  "species": ["Al", "Al", "Ag", "Ag", "Ag", "Ag"],
  "frac_coords": [[0.375, 0.625, 0.750], [0.625, 0.375, 0.250], [0.050, 0.800, 0.250], [0.200, 0.950, 0.250], [0.800, 0.050, 0.750], [0.950, 0.200, 0.750]]
}

{
  "formula": "Al3Ag5",
  "functional": "PBE",
  "state": "optimized geometry",
  "spacegroup": "R-3m",
  "delta_e_f_kj_per_mol_fu": -25,
  "mass_density_g_cm3": 7.54,
  "final_energy_ev_per_atom": -3.22,
  "n_ef_per_ev_cell": 1.38,
  "lattice_angstrom": [[2.919, 1.685, 4.629], [-2.919, 1.685, 4.629], [0.000, -3.371, 4.629]],
  "species": ["Al", "Al", "Al", "Ag", "Ag", "Ag", "Ag", "Ag"],
  "frac_coords": [[0.000, 0.500, 0.500], [0.500, 0.000, 0.500], [0.500, 0.500, 0.000], [0.000, 0.000, 0.000], [0.000, 0.000, 0.500], [0.000, 0.500, 0.000], [0.500, 0.000, 0.000], [0.500, 0.500, 0.500]]
}

{
  "formula": "Al3Ag5",
  "functional": "PBE",
  "state": "optimized geometry",
  "spacegroup": "Pmm2",
  "delta_e_f_kj_per_mol_fu": -35,
  "mass_density_g_cm3": 7.52,
  "final_energy_ev_per_atom": -3.23,
  "n_ef_per_ev_cell": 2.03,
  "lattice_angstrom": [[3.988, 0.000, 0.000], [0.000, 6.031, 0.000], [0.000, 0.000, 5.694]],
  "species": ["Al", "Al", "Al", "Ag", "Ag", "Ag", "Ag", "Ag"],
  "frac_coords": [[0.000, 0.000, 0.000], [0.500, 0.251, 0.734], [0.500, 0.749, 0.734], [0.000, 0.000, 0.514], [0.000, 0.500, 0.490], [0.000, 0.500, 0.980], [0.500, 0.242, 0.229], [0.500, 0.758, 0.229]]
}

{
  "formula": "Al7Ag5",
  "functional": "PBE",
  "state": "optimized geometry",
  "spacegroup": "C222",
  "delta_e_f_kj_per_mol_fu": -8,
  "mass_density_g_cm3": 5.94,
  "final_energy_ev_per_atom": -3.38,
  "n_ef_per_ev_cell": 2.82,
  "lattice_angstrom": [[2.784, -4.078, 0.000], [2.784, 4.078, 0.000], [0.000, 0.000, 8.968]],
  "species": ["Al", "Al", "Al", "Al", "Al", "Al", "Al", "Ag", "Ag", "Ag", "Ag", "Ag"],
  "frac_coords": [[0.000, 0.000, 0.000], [0.000, 0.500, 0.500], [0.000, 0.500, 0.831], [0.500, 0.000, 0.169], [0.500, 0.000, 0.500], [0.500, 0.500, 0.337], [0.500, 0.500, 0.663], [0.000, 0.000, 0.335], [0.000, 0.000, 0.665], [0.000, 0.500, 0.168], [0.500, 0.000, 0.832], [0.500, 0.500, 0.000]]
}

Please write out number 4 again, unchanged.
{
  "formula": "Al3Ag5",
  "functional": "PBE",
  "state": "optimized geometry",
  "spacegroup": "P-1",
  "delta_e_f_kj_per_mol_fu": -35,
  "mass_density_g_cm3": 7.57,
  "final_energy_ev_per_atom": -3.23,
  "n_ef_per_ev_cell": 1.62,
  "lattice_angstrom": [[5.006, 0.000, 0.000], [0.921, 4.968, 0.000], [0.034, 1.755, 5.471]],
  "species": ["Al", "Al", "Al", "Ag", "Ag", "Ag", "Ag", "Ag"],
  "frac_coords": [[0.000, 0.000, 0.000], [0.244, 0.500, 0.860], [0.756, 0.500, 0.140], [0.000, 0.000, 0.500], [0.250, 0.518, 0.354], [0.491, 0.982, 0.762], [0.509, 0.018, 0.238], [0.750, 0.482, 0.646]]
}

What did the fourth record say?
{
  "formula": "Al3Ag5",
  "functional": "PBE",
  "state": "optimized geometry",
  "spacegroup": "P-1",
  "delta_e_f_kj_per_mol_fu": -35,
  "mass_density_g_cm3": 7.57,
  "final_energy_ev_per_atom": -3.23,
  "n_ef_per_ev_cell": 1.62,
  "lattice_angstrom": [[5.006, 0.000, 0.000], [0.921, 4.968, 0.000], [0.034, 1.755, 5.471]],
  "species": ["Al", "Al", "Al", "Ag", "Ag", "Ag", "Ag", "Ag"],
  "frac_coords": [[0.000, 0.000, 0.000], [0.244, 0.500, 0.860], [0.756, 0.500, 0.140], [0.000, 0.000, 0.500], [0.250, 0.518, 0.354], [0.491, 0.982, 0.762], [0.509, 0.018, 0.238], [0.750, 0.482, 0.646]]
}

Repeat the first record exactly.
{
  "formula": "Al3Ag2",
  "functional": "PBE",
  "state": "optimized geometry",
  "spacegroup": "P1",
  "delta_e_f_kj_per_mol_fu": -5,
  "mass_density_g_cm3": 5.78,
  "final_energy_ev_per_atom": -3.40,
  "n_ef_per_ev_cell": 3.05,
  "lattice_angstrom": [[5.138, 0.000, 0.000], [1.867, 5.442, 0.000], [1.870, 1.420, 6.097]],
  "species": ["Al", "Al", "Al", "Al", "Al", "Al", "Ag", "Ag", "Ag", "Ag"],
  "frac_coords": [[0.000, 0.000, 0.000], [0.001, 0.490, 0.997], [0.194, 0.298, 0.595], [0.597, 0.896, 0.793], [0.599, 0.386, 0.786], [0.797, 0.188, 0.396], [0.187, 0.796, 0.615], [0.398, 0.097, 0.187], [0.416, 0.589, 0.182], [0.808, 0.685, 0.395]]
}